NbCr3P PBE optimized geometry; crystal system = cubic; SG = Pm-3m, No. 221; electronic total energy = -8.493 eV per atom; calculated formation energy = 0.3774 eV/atom; Fermi-level density of states = 4.3 states/eV/f.u.
1.0
4.2015 0.0000 0.0000
0.0000 4.2015 0.0000
0.0000 0.0000 4.2015
Nb Cr P
1 3 1
direct
0.0000 0.0000 0.0000
0.0000 0.5000 0.5000
0.5000 0.0000 0.5000
0.5000 0.5000 0.0000
0.5000 0.5000 0.5000

---

NbCr2P2 PBE optimized geometry; crystal system = tetragonal; SG = P4/mbm, No. 127; electronic total energy = -8.418 eV per atom; calculated formation energy = -0.3905 eV/atom; Fermi-level density of states = 5.2 states/eV/f.u.
1.0
6.7391 0.0000 0.0000
0.0000 6.7391 0.0000
0.0000 0.0000 2.8686
Nb Cr P
2 4 4
direct
0.0000 0.0000 0.0000
0.5000 0.5000 0.0000
0.1380 0.3620 0.5000
0.3620 0.8620 0.5000
0.6380 0.1380 0.5000
0.8620 0.6380 0.5000
0.1498 0.6498 0.0000
0.3502 0.1498 0.0000
0.6498 0.8502 0.0000
0.8502 0.3502 0.0000

---

Nb2CrP PBE optimized geometry; crystal system = tetragonal; SG = I-42d, No. 122; electronic total energy = -8.493 eV per atom; calculated formation energy = 0.3001 eV/atom; Fermi-level density of states = 3.9 states/eV/f.u.
1.0
-1.8993 1.8993 9.3852
1.8993 -1.8993 9.3852
1.8993 1.8993 -9.3852
Nb Cr P
4 2 2
direct
0.1166 0.6250 0.9916
0.3750 0.3666 0.4916
0.6334 0.1250 0.0084
0.8750 0.8834 0.5084
0.2500 0.7500 0.5000
0.5000 0.5000 0.0000
0.0000 0.0000 0.0000
0.7500 0.2500 0.5000

---

NbCrP3 PBE optimized geometry; crystal system = cubic; SG = Pm-3m, No. 221; electronic total energy = -6.075 eV per atom; calculated formation energy = 1.1093 eV/atom; Fermi-level density of states = 12.9 states/eV/f.u.
1.0
4.7680 0.0000 0.0000
0.0000 4.7680 0.0000
0.0000 0.0000 4.7680
Nb Cr P
1 1 3
direct
0.0000 0.0000 0.0000
0.5000 0.5000 0.5000
0.0000 0.0000 0.5000
0.0000 0.5000 0.0000
0.5000 0.0000 0.0000